Version w
This record from the Alexandria database describes crystalline Tl8HgPb2 at its relaxed geometry. The functional is PBE.

Output
total magnetic moment = 0.00 μB per formula unit

```
data_Tl8HgPb2
_space_group_name_H-M_alt 'C 1 2/m 1'
_space_group_IT_number 12
_cell_length_a 18.491
_cell_length_b 5.421
_cell_length_c 6.728
_cell_angle_alpha 90.00
_cell_angle_beta 92.94
_cell_angle_gamma 90.00
loop_
_space_group_symop_operation_xyz
'x,y,z'
'-x,-y,-z'
'-x,y,-z'
'x,-y,z'
'x+1/2,y+1/2,z'
'-x+1/2,-y+1/2,-z'
'-x+1/2,y+1/2,-z'
'x+1/2,-y+1/2,z'
loop_
_atom_site_label
_atom_site_type_symbol
_atom_site_fract_x
_atom_site_fract_y
_atom_site_fract_z
Tl1 Tl 0.044 0.000 0.238
Tl2 Tl 0.089 0.500 0.947
Tl3 Tl 0.141 0.000 0.693
Tl4 Tl 0.174 0.500 0.409
Hg1 Hg 0.000 0.500 0.500
Pb1 Pb 0.230 0.000 0.145
```

Version x
This record from the Alexandria database describes crystalline Tl8HgPb2 at its relaxed geometry. The functional is PBE.

Output
total magnetic moment = 0.00 μB per formula unit

```
data_Tl8HgPb2
_space_group_name_H-M_alt 'C 1 2/m 1'
_space_group_IT_number 12
_cell_length_a 16.255
_cell_length_b 6.615
_cell_length_c 6.694
_cell_angle_alpha 90.00
_cell_angle_beta 104.77
_cell_angle_gamma 90.00
loop_
_space_group_symop_operation_xyz
'x,y,z'
'-x,-y,-z'
'-x,y,-z'
'x,-y,z'
'x+1/2,y+1/2,z'
'-x+1/2,-y+1/2,-z'
'-x+1/2,y+1/2,-z'
'x+1/2,-y+1/2,z'
loop_
_atom_site_label
_atom_site_type_symbol
_atom_site_fract_x
_atom_site_fract_y
_atom_site_fract_z
Tl1 Tl 0.075 0.242 0.390
Tl2 Tl 0.110 0.000 0.955
Tl3 Tl 0.248 0.500 0.346
Hg1 Hg 0.000 0.500 0.000
Pb1 Pb 0.164 0.500 0.833
```

Most stable to least stable, the ends of the list are version w and version x.

Version w
This record from the Alexandria database describes crystalline Tl2Hg8Pb3 at its relaxed geometry. The functional is PBE.

Output
total magnetic moment = 0.00 μB per formula unit

```
data_Tl2Hg8Pb3
_space_group_name_H-M_alt 'P -1'
_space_group_IT_number 2
_cell_length_a 5.716
_cell_length_b 6.694
_cell_length_c 10.068
_cell_angle_alpha 104.64
_cell_angle_beta 90.87
_cell_angle_gamma 93.41
loop_
_space_group_symop_operation_xyz
'x,y,z'
'-x,-y,-z'
loop_
_atom_site_label
_atom_site_type_symbol
_atom_site_fract_x
_atom_site_fract_y
_atom_site_fract_z
Tl1 Tl 0.229 0.333 0.458
Hg1 Hg 0.067 0.093 0.151
Hg2 Hg 0.155 0.730 0.313
Hg3 Hg 0.308 0.964 0.614
Hg4 Hg 0.380 0.597 0.763
Pb1 Pb 0.000 0.500 0.000
Pb2 Pb 0.464 0.203 0.927
```

Version x
This record from the Alexandria database describes crystalline Tl2Hg8Pb3 at its relaxed geometry. The functional is PBE.

Output
total magnetic moment = 0.00 μB per formula unit

```
data_Tl2Hg8Pb3
_space_group_name_H-M_alt 'R -3 m'
_space_group_IT_number 166
_space_group_name_Hall '-R 3 2"'
_cell_length_a 6.0632
_cell_length_b 6.0632
_cell_length_c 36.2116
_cell_angle_alpha 90.00
_cell_angle_beta 90.00
_cell_angle_gamma 120.00
loop_
_atom_site_label
_atom_site_type_symbol
_atom_site_fract_x
_atom_site_fract_y
_atom_site_fract_z
Tl1 Tl 0.0000 0.0000 0.1411
Hg1 Hg 0.0000 0.0000 0.2251
Hg2 Hg 0.0009 0.5005 0.7292
Pb1 Pb 0.0000 0.0000 0.3171
Pb2 Pb 0.0000 0.0000 0.5000
```

Most stable to least stable, the ends of the list are version w and version x.

Version w
This record from the Alexandria database describes crystalline TlHg2Pb6 at its relaxed geometry. The functional is PBE.

Output
total magnetic moment = 0.00 μB per formula unit

```
data_TlHg2Pb6
_space_group_name_H-M_alt 'C 1 2/m 1'
_space_group_IT_number 12
_cell_length_a 15.429
_cell_length_b 3.501
_cell_length_c 10.276
_cell_angle_alpha 90.00
_cell_angle_beta 100.98
_cell_angle_gamma 90.00
loop_
_space_group_symop_operation_xyz
'x,y,z'
'-x,-y,-z'
'-x,y,-z'
'x,-y,z'
'x+1/2,y+1/2,z'
'-x+1/2,-y+1/2,-z'
'-x+1/2,y+1/2,-z'
'x+1/2,-y+1/2,z'
loop_
_atom_site_label
_atom_site_type_symbol
_atom_site_fract_x
_atom_site_fract_y
_atom_site_fract_z
Tl1 Tl 0.000 0.000 0.000
Hg1 Hg 0.166 0.500 0.220
Pb1 Pb 0.005 0.000 0.335
Pb2 Pb 0.167 0.500 0.556
Pb3 Pb 0.169 0.500 0.888
```

Version x
This record from the Alexandria database describes crystalline TlHg2Pb6 at its relaxed geometry. The functional is PBE.

Output
total magnetic moment = 0.00 μB per formula unit

```
data_TlHg2Pb6
_space_group_name_H-M_alt 'P -6 m 2'
_space_group_IT_number 187
_space_group_name_Hall 'P -6 2'
_cell_length_a 3.4279
_cell_length_b 3.4279
_cell_length_c 27.3246
_cell_angle_alpha 90.00
_cell_angle_beta 90.00
_cell_angle_gamma 120.00
loop_
_atom_site_label
_atom_site_type_symbol
_atom_site_fract_x
_atom_site_fract_y
_atom_site_fract_z
Tl1 Tl 0.0000 0.0000 0.0000
Hg1 Hg 0.3333 0.6667 0.3309
Pb1 Pb 0.0000 0.0000 0.2239
Pb2 Pb 0.0000 0.0000 0.4375
Pb3 Pb 0.3333 0.6667 0.1128
```

Most stable to least stable, the ends of the list are version w and version x.

Version w
This record from the Alexandria database describes crystalline Tl2Hg3Pb8 at its relaxed geometry. The functional is PBE.

Output
total magnetic moment = 0.00 μB per formula unit

```
data_Tl2Hg3Pb8
_space_group_name_H-M_alt 'C 1 2/m 1'
_space_group_IT_number 12
_cell_length_a 14.704
_cell_length_b 9.243
_cell_length_c 6.830
_cell_angle_alpha 90.00
_cell_angle_beta 106.22
_cell_angle_gamma 90.00
loop_
_space_group_symop_operation_xyz
'x,y,z'
'-x,-y,-z'
'-x,y,-z'
'x,-y,z'
'x+1/2,y+1/2,z'
'-x+1/2,-y+1/2,-z'
'-x+1/2,y+1/2,-z'
'x+1/2,-y+1/2,z'
loop_
_atom_site_label
_atom_site_type_symbol
_atom_site_fract_x
_atom_site_fract_y
_atom_site_fract_z
Tl1 Tl 0.130 0.000 0.161
Hg1 Hg 0.000 0.177 0.500
Hg2 Hg 0.000 0.500 0.000
Pb1 Pb 0.117 0.500 0.475
Pb2 Pb 0.147 0.310 0.891
Pb3 Pb 0.198 0.000 0.696
```

Version x
This record from the Alexandria database describes crystalline Tl2Hg3Pb8 at its relaxed geometry. The functional is PBE.

Output
total magnetic moment = 0.00 μB per formula unit

```
data_Tl2Hg3Pb8
_space_group_name_H-M_alt 'P 1 2/m 1'
_space_group_IT_number 10
_cell_length_a 11.132
_cell_length_b 3.424
_cell_length_c 11.727
_cell_angle_alpha 90.00
_cell_angle_beta 117.62
_cell_angle_gamma 90.00
loop_
_space_group_symop_operation_xyz
'x,y,z'
'-x,-y,-z'
'-x,y,-z'
'x,-y,z'
loop_
_atom_site_label
_atom_site_type_symbol
_atom_site_fract_x
_atom_site_fract_y
_atom_site_fract_z
Tl1 Tl 0.155 0.000 0.120
Hg1 Hg 0.000 0.000 0.500
Hg2 Hg 0.302 0.500 0.723
Pb1 Pb 0.092 0.000 0.793
Pb2 Pb 0.233 0.500 0.417
Pb3 Pb 0.378 0.500 0.041
Pb4 Pb 0.481 0.000 0.346
```

Most stable to least stable, the ends of the list are version x and version w.

Version w
This record from the Alexandria database describes crystalline Tl2Hg2Pb5 at its relaxed geometry. The functional is PBE.

Output
total magnetic moment = 0.00 μB per formula unit

```
data_Tl2Hg2Pb5
_space_group_name_H-M_alt 'I m a 2'
_space_group_IT_number 46
_cell_length_a 12.927
_cell_length_b 8.238
_cell_length_c 10.683
_cell_angle_alpha 90.00
_cell_angle_beta 90.00
_cell_angle_gamma 90.00
loop_
_space_group_symop_operation_xyz
'x,y,z'
'-x,-y,z'
'-x+1/2,y,z'
'x+1/2,-y,z'
'x+1/2,y+1/2,z+1/2'
'-x+1/2,-y+1/2,z+1/2'
'-x,y+1/2,z+1/2'
'x,-y+1/2,z+1/2'
loop_
_atom_site_label
_atom_site_type_symbol
_atom_site_fract_x
_atom_site_fract_y
_atom_site_fract_z
Tl1 Tl 0.115 0.101 0.000
Hg1 Hg 0.000 0.000 0.550
Hg2 Hg 0.250 0.113 0.674
Pb1 Pb 0.090 0.688 0.279
Pb2 Pb 0.125 0.081 0.306
Pb3 Pb 0.250 0.715 0.016
```

Version x
This record from the Alexandria database describes crystalline Tl2Hg2Pb5 at its relaxed geometry. The functional is PBE.

Output
total magnetic moment = 0.00 μB per formula unit

```
data_Tl2Hg2Pb5
_space_group_name_H-M_alt 'P -1'
_space_group_IT_number 2
_cell_length_a 5.096
_cell_length_b 7.489
_cell_length_c 7.887
_cell_angle_alpha 107.06
_cell_angle_beta 90.07
_cell_angle_gamma 109.74
loop_
_space_group_symop_operation_xyz
'x,y,z'
'-x,-y,-z'
loop_
_atom_site_label
_atom_site_type_symbol
_atom_site_fract_x
_atom_site_fract_y
_atom_site_fract_z
Tl1 Tl 0.163 0.328 0.496
Hg1 Hg 0.281 0.559 0.172
Pb1 Pb 0.063 0.130 0.846
Pb2 Pb 0.389 0.775 0.834
Pb3 Pb 0.500 0.000 0.500
```

Most stable to least stable, the ends of the list are version x and version w.